A plane-wave DFT calculation with PBE was carried out for a geometry-optimized VS4Br structure.

As for the uncorrected formation energy: -0.012 eV/atom.

The structure belongs to space group I4_1/a (No. 88, origin choice 2); the cell edges are 7.1034, 7.1034 and 11.3251 Å and the angles 90.00°, 90.00° and 90.00°. The asymmetric unit holds V at (0.0000, 0.2500, 0.1250), S at (0.0921, 0.3574, 0.3136) and Br at (0.0000, 0.2500, 0.6250).


A plane-wave DFT calculation with PBE was carried out for a geometry-optimized VSBr2 structure.

As for the uncorrected formation energy: 0.632 eV/atom. For the energy above the most stable polymorph in this dataset, the calculation gives 519 meV per atom.

The structure belongs to space group R-3m (No. 166, hexagonal axes); the cell edges are 3.1626, 3.1626 and 37.0409 Å and the angles 90.00°, 90.00° and 120.00°. The asymmetric unit holds V at (0.0000, 0.0000, 0.0000), S at (0.0000, 0.0000, 0.5000) and Br at (0.0000, 0.0000, 0.0630).


A plane-wave DFT calculation with PBE was carried out for a geometry-optimized VSBr structure.

As for the uncorrected formation energy: -0.729 eV/atom.

The structure belongs to space group C2/m (No. 12); the cell edges are 6.0266, 4.6327 and 10.7197 Å and the angles 90.00°, 93.97° and 90.00°. The asymmetric unit holds V at (0.1527, 0.0000, 0.1273), S at (0.2326, 0.0000, 0.9059) and Br at (0.2283, 0.0000, 0.3438).


A plane-wave DFT calculation with PBE was carried out for a geometry-optimized VW2SBr structure.

As for the uncorrected formation energy: 1.514 eV/atom.

The structure belongs to space group P4/mmm (No. 123); the cell edges are 4.7426, 4.7426 and 4.3010 Å and the angles 90.00°, 90.00° and 90.00°. The asymmetric unit holds V at (0.0000, 0.0000, 0.0000), W at (0.0000, 0.5000, 0.0000), S at (0.0000, 0.0000, 0.5000) and Br at (0.5000, 0.5000, 0.5000).


A plane-wave DFT calculation with PBE was carried out for a geometry-optimized ZrV2SBr structure.

As for the uncorrected formation energy: 0.407 eV/atom.

The structure belongs to space group P4/mmm (No. 123); the cell edges are 4.2421, 4.2421 and 5.9075 Å and the angles 90.00°, 90.00° and 90.00°. The asymmetric unit holds Zr at (0.0000, 0.0000, 0.0000), V at (0.0000, 0.5000, 0.5000), S at (0.5000, 0.5000, 0.5000) and Br at (0.5000, 0.5000, 0.0000).


A plane-wave DFT calculation with PBE was carried out for a geometry-optimized WSBr4 structure.

As for the uncorrected formation energy: -0.480 eV/atom.

The structure belongs to space group P2_1/c (No. 14); the cell edges are 10.8313, 6.5531 and 13.7879 Å and the angles 90.00°, 111.58° and 90.00°. The asymmetric unit holds W at (0.2450, 0.0855, 0.0398), S at (0.3918, 0.2246, 0.5222), Br at (0.0370, 0.2485, 0.4266), Br at (0.2040, 0.2343, 0.1889), Br at (0.2036, 0.6714, 0.4004) and Br at (0.3742, 0.6818, 0.6612).